[1]
A PBEsol-optimized structure of BaZnBr2. Source: Alexandria via LeMat-Bulk, functional SCAN.

Results
ΔE_f (raw), eV/atom: -1.48
Symmetry: Fm-3m (225)
Energy relative to the lowest polymorph listed for this composition, meV/atom: 0
Density, g/cm3: 5.09

a b c (Å): 5.511 5.511 5.511
angles (deg): 60.00 60.00 60.00
Sites, in units of the cell vectors:
Zn: 0.000 0.000 0.000
Br: 0.750 0.750 0.750
Br: 0.250 0.250 0.250
Ba: 0.500 0.500 0.500


[2]
A PBEsol-optimized structure of ScHgPb. Source: Alexandria via LeMat-Bulk, functional SCAN.

Results
Symmetry: P3m1 (156)
Density, g/cm3: 10.69
Formation energy from the elements, meV/atom: -369

a b c (Å): 3.611 4.742 4.742
angles (deg): 120.00 90.00 90.00
Sites, in units of the cell vectors:
Pb: 0.687 0.333 0.667
Sc: 0.293 0.667 0.333
Hg: 0.021 0.000 0.000


[3]
A PBEsol-optimized structure of LiMgPb. Source: Alexandria via LeMat-Bulk, functional SCAN.

Results
Symmetry: P3m1 (156)
Energy relative to the lowest polymorph listed for this composition, meV/atom: 52
Density, g/cm3: 5.95
Formation energy from the elements, meV/atom: -260

a b c (Å): 3.346 4.793 4.793
angles (deg): 120.00 90.00 90.00
Sites, in units of the cell vectors:
Li: 0.061 0.000 0.000
Mg: 0.653 0.333 0.667
Pb: 0.286 0.667 0.333


[4]
A PBEsol-optimized structure of Sc2ZnTcBi. Source: Alexandria via LeMat-Bulk, functional SCAN.

Results
Symmetry: P4/mmm (123)
Density, g/cm3: 5.57
Formation energy from the elements, meV/atom: 1141

a b c (Å): 4.857 5.329 5.329
angles (deg): 90.00 90.00 90.00
Last column: magnetic moment on the atom in μB.
Sites, in units of the cell vectors:
Sc: 0.000 0.500 0.000  -0.34
Sc: 0.000 0.000 0.500  -0.34
Bi: 0.000 0.000 0.000  0.01
Tc: 0.500 0.500 0.500  3.27
Zn: 0.500 0.000 0.000  -0.02


[5]
A PBEsol-optimized structure of NiSe3. Source: Alexandria via LeMat-Bulk, functional SCAN.

Results
ΔE_f (raw), eV/atom: 0.26
Symmetry: P4/mmm (123)
Density, g/cm3: 6.57

a b c (Å): 2.764 2.764 9.776
angles (deg): 90.00 90.00 90.00
Sites, in units of the cell vectors:
Se: 0.000 0.000 0.500
Se: 0.500 0.500 0.827
Se: 0.500 0.500 0.173
Ni: 0.000 0.000 0.000


[6]
A PBEsol-optimized structure of Ga3BiCl. Source: Alexandria via LeMat-Bulk, functional SCAN.

Results
ΔE_f (raw), eV/atom: 0.31
Symmetry: Pm-3m (221)
Density, g/cm3: 5.73

a b c (Å): 5.086 5.086 5.086
angles (deg): 90.00 90.00 90.00
Sites, in units of the cell vectors:
Cl: 0.000 0.000 0.000
Ga: 0.000 0.000 0.500
Ga: 0.000 0.500 0.000
Ga: 0.500 0.000 0.000
Bi: 0.500 0.500 0.500


[7]
A PBEsol-optimized structure of BaZn2Cu. Source: Alexandria via LeMat-Bulk, functional SCAN.

Results
Symmetry: R3m (160)
Density, g/cm3: 6.04
Formation energy from the elements, meV/atom: -200

a b c (Å): 4.299 4.299 6.214
angles (deg): 69.76 69.76 60.00
Sites, in units of the cell vectors:
Cu: 0.315 0.315 0.056
Zn: 0.690 0.690 0.929
Zn: 0.993 0.993 0.021
Ba: 0.502 0.502 0.494


[8]
A PBEsol-optimized structure of YHg2SBr. Source: Alexandria via LeMat-Bulk, functional SCAN.

Results
ΔE_f (raw), eV/atom: 0.25
Symmetry: P4/mmm (123)
Density, g/cm3: 6.59

a b c (Å): 5.290 5.357 5.357
angles (deg): 90.00 90.00 90.00
Sites, in units of the cell vectors:
Hg: 0.000 0.500 0.000
Hg: 0.000 0.000 0.500
Y: 0.500 0.000 0.000
S: 0.500 0.500 0.500
Br: 0.000 0.000 0.000


[9]
A PBEsol-optimized structure of MnTcIr2. Source: Alexandria via LeMat-Bulk, functional SCAN.

Results
Symmetry: Cm (8)
Energy relative to the lowest polymorph listed for this composition, meV/atom: 102
Density, g/cm3: 16.77
Formation energy from the elements, meV/atom: -259

a b c (Å): 2.665 4.599 4.610
angles (deg): 99.88 90.00 106.84
Last column: magnetic moment on the atom in μB.
Sites, in units of the cell vectors:
Ir: 0.753 0.507 0.265  -0.16
Ir: 0.999 0.998 0.991  -0.12
Tc: 0.248 0.497 0.751  -0.38
Mn: 0.499 0.998 0.493  3.10


[10]
A PBEsol-optimized structure of Sr2CrHg. Source: Alexandria via LeMat-Bulk, functional SCAN.

Results
Symmetry: F-43m (216)
Density, g/cm3: 6.61
Formation energy from the elements, meV/atom: 18

a b c (Å): 5.335 5.335 5.335
angles (deg): 60.00 60.00 60.00
Last column: magnetic moment on the atom in μB.
Sites, in units of the cell vectors:
Sr: 0.000 0.000 0.000  0.03
Sr: 0.750 0.750 0.750  0.10
Cr: 0.500 0.500 0.500  4.16
Hg: 0.250 0.250 0.250  0.01


[11]
A PBEsol-optimized structure of NaInI2O. Source: Alexandria via LeMat-Bulk, functional SCAN.

Results
ΔE_f (raw), eV/atom: -0.26
Symmetry: P4/mmm (123)
Density, g/cm3: 4.55

a b c (Å): 4.286 5.889 5.889
angles (deg): 90.00 90.00 90.00
Last column: magnetic moment on the atom in μB.
Sites, in units of the cell vectors:
O: 0.500 0.000 0.000  1.20
In: 0.500 0.500 0.500  0.01
I: 0.000 0.500 0.000  0.12
I: 0.000 0.000 0.500  0.12
Na: 0.000 0.000 0.000  -0.01


[12]
A PBEsol-optimized structure of Tl2Pt2Se. Source: Alexandria via LeMat-Bulk, functional SCAN.

Results
ΔE_f (raw), eV/atom: 0.39
Symmetry: I4/mmm (139)
Density, g/cm3: 13.67

a b c (Å): 4.166 4.166 6.816
angles (deg): 107.79 107.79 90.00
Sites, in units of the cell vectors:
Se: 0.000 0.000 0.000
Pt: 0.604 0.604 0.208
Pt: 0.396 0.396 0.792
Tl: 0.750 0.250 0.500
Tl: 0.250 0.750 0.500